(1)
Compound: AlCdSb2
Source: Alexandria
Functional: SCAN
Structure: single point on PBEsol structure

## Properties
DFT total energy ... -27.93 eV/atom
Energy above the lowest structure with this stoichiometry ... 118 meV/atom
Raw formation energy ... 1.0 eV per formula unit

Cell lengths 5.0791, 5.0791, 5.0791 Å; angles 60.00, 60.00, 60.00 degrees
Positions (direct):
Al  0.0000  0.0000  0.0000
Cd  0.5000  0.5000  0.5000
Sb  0.2500  0.2500  0.2500
Sb  0.7500  0.7500  0.7500

(2)
Compound: Sc2AlCd
Source: Alexandria
Functional: SCAN
Structure: single point on PBEsol structure

## Properties
Formation enthalpy at 0 K ... -429 meV per atom
DFT total energy ... -17.09 eV/atom
Energy above the lowest structure with this stoichiometry ... 1 meV/atom

Cell lengths 4.8385, 4.8385, 4.8385 Å; angles 60.00, 60.00, 60.00 degrees
Positions (direct):
Sc  0.2500  0.2500  0.2500
Sc  0.7500  0.7500  0.7500
Al  0.0000  0.0000  0.0000
Cd  0.5000  0.5000  0.5000